[1]
Density functional theory data (GGA-PBE) for a relaxed NdSmTlZn crystal.

a = 3.751 Å, b = 3.751 Å, c = 7.677 Å
α = 90.00°, β = 90.00°, γ = 90.00°
Positions (direct):
Nd  0.000  0.000  0.835
Sm  0.000  0.000  0.380
Tl  0.500  0.500  0.112
Zn  0.500  0.500  0.601

Computed properties:
The density comes out at 8.7 g/cm³. The calculation puts the calculated volume at 27.00 Å³ per atom. As for the formation energy: -351.5 meV per atom. Its symmetry is No. 99. Its density of states at the Fermi level is 3.719 states/eV/f.u. The total moment is 0.000 μB per cell. The energy relative to the lowest polymorph listed for this composition comes out at 0.000 eV per formula unit. The crystal system is tetragonal. As for the raw total energy: -3.633 eV/atom.

=====

[2]
Density functional theory data (GGA-PBE) for a relaxed Nd2SmTl2Zn2 crystal.

a = 4.792 Å, b = 4.792 Å, c = 9.893 Å
α = 75.98°, β = 75.98°, γ = 60.00°
Positions (direct):
Nd  0.127  0.127  0.620
Nd  0.873  0.873  0.380
Sm  0.000  0.000  0.000
Tl  0.735  0.735  0.795
Tl  0.265  0.265  0.205
Zn  0.606  0.606  0.181
Zn  0.394  0.394  0.819

Computed properties:
The density comes out at 8.6 g/cm³. The calculation puts the calculated volume at 26.98 Å³ per atom. As for the formation energy: -192.6 meV per atom. Its symmetry is No. 166. Its density of states at the Fermi level is 3.761 states/eV/f.u. The total moment is 0.000 μB per cell. The crystal system is trigonal. As for the raw total energy: -3.269 eV/atom.

=====

[3]
Density functional theory data (GGA-PBE) for a relaxed Nd3Sm5Tm crystal.

a = 9.660 Å, b = 9.660 Å, c = 11.818 Å
α = 52.53°, β = 52.53°, γ = 74.32°
Positions (direct):
Nd  0.690  0.690  0.816
Nd  0.664  0.664  0.352
Nd  0.000  0.000  0.000
Nd  0.000  0.000  0.500
Nd  0.310  0.310  0.184
Nd  0.336  0.336  0.648
Sm  0.839  0.334  0.259
Sm  0.253  0.747  0.000
Sm  0.820  0.820  0.955
Sm  0.496  0.496  0.230
Sm  0.504  0.504  0.770
Sm  0.180  0.180  0.045
Sm  0.334  0.839  0.259
Sm  0.747  0.253  0.000
Sm  0.161  0.666  0.741
Sm  0.666  0.161  0.741
Tm  0.155  0.155  0.597
Tm  0.845  0.845  0.403

Computed properties:
The density comes out at 6.6 g/cm³. The calculation puts the calculated volume at 38.11 Å³ per atom. As for the formation energy: 494.0 meV per atom. Its symmetry is No. 12. Its density of states at the Fermi level is 13.615 states/eV/f.u. The total moment is 0.000 μB per cell. The crystal system is monoclinic. As for the raw total energy: -4.214 eV/atom.

=====

[4]
Density functional theory data (GGA-PBE) for a relaxed Nd3Sm2Tm3 crystal.

a = 5.063 Å, b = 5.099 Å, c = 10.791 Å
α = 103.67°, β = 103.57°, γ = 90.00°
Positions (direct):
Nd  0.623  0.623  0.247
Nd  0.377  0.377  0.753
Nd  0.500  0.000  0.000
Sm  0.749  0.249  0.499
Sm  0.251  0.751  0.501
Tm  0.125  0.125  0.250
Tm  0.000  0.500  0.000
Tm  0.875  0.875  0.750

Computed properties:
The density comes out at 7.8 g/cm³. The calculation puts the calculated volume at 32.83 Å³ per atom. As for the formation energy: 20.7 meV per atom. Its symmetry is No. 71. Its density of states at the Fermi level is 12.109 states/eV/f.u. The total moment is 0.000 μB per cell. The energy relative to the lowest polymorph listed for this composition comes out at 0.000 eV per formula unit. The crystal system is orthorhombic. As for the raw total energy: -4.624 eV/atom.

=====

[5]
Density functional theory data (GGA-PBE) for a relaxed NdSm3Tm2 crystal.

a = 5.592 Å, b = 8.975 Å, c = 8.975 Å
α = 111.51°, β = 90.00°, γ = 90.00°
Positions (direct):
Nd  0.993  0.739  0.739
Nd  0.493  0.261  0.261
Sm  0.993  0.892  0.366
Sm  0.493  0.634  0.108
Sm  0.993  0.366  0.892
Sm  0.493  0.108  0.634
Sm  0.493  0.907  0.907
Sm  0.993  0.093  0.093
Tm  0.493  0.702  0.487
Tm  0.993  0.513  0.298
Tm  0.493  0.487  0.702
Tm  0.993  0.298  0.513

Computed properties:
The density comes out at 7.4 g/cm³. The calculation puts the calculated volume at 34.92 Å³ per atom. As for the formation energy: 293.7 meV per atom. Its symmetry is No. 63. Its density of states at the Fermi level is 9.424 states/eV/f.u. The total moment is 0.000 μB per cell. The energy relative to the lowest polymorph listed for this composition comes out at 1.645 eV per formula unit. The crystal system is orthorhombic. As for the raw total energy: -4.351 eV/atom.

=====

[6]
Density functional theory data (GGA-PBE) for a relaxed Nd2SmTm5 crystal.

a = 9.847 Å, b = 6.484 Å, c = 10.821 Å
α = 119.68°, β = 117.06°, γ = 90.00°
Positions (direct):
Nd  0.177  0.459  0.845
Nd  0.668  0.959  0.845
Nd  0.823  0.541  0.155
Nd  0.332  0.041  0.155
Sm  0.000  0.000  0.500
Sm  0.500  0.500  0.500
Tm  0.489  0.445  0.800
Tm  0.942  0.750  0.000
Tm  0.058  0.250  0.000
Tm  0.893  0.630  0.608
Tm  0.107  0.370  0.392
Tm  0.715  0.130  0.608
Tm  0.285  0.870  0.392
Tm  0.511  0.555  0.200
Tm  0.311  0.945  0.800
Tm  0.689  0.055  0.200

Computed properties:
The density comes out at 8.3 g/cm³. The calculation puts the calculated volume at 31.96 Å³ per atom. As for the formation energy: 179.9 meV per atom. Its symmetry is No. 15. Its density of states at the Fermi level is 12.022 states/eV/f.u. The total moment is 0.000 μB per cell. The crystal system is monoclinic. As for the raw total energy: -4.397 eV/atom.

=====

[7]
Density functional theory data (GGA-PBE) for a relaxed Nd4Sm3Tm4 crystal.

a = 5.716 Å, b = 6.671 Å, c = 10.712 Å
α = 90.00°, β = 90.00°, γ = 115.37°
Positions (direct):
Nd  0.753  0.507  0.789
Nd  0.753  0.507  0.211
Nd  0.882  0.764  0.500
Nd  0.960  0.920  0.000
Sm  0.411  0.823  0.289
Sm  0.411  0.823  0.711
Sm  0.253  0.506  0.000
Tm  0.609  0.219  0.500
Tm  0.555  0.110  0.000
Tm  0.105  0.209  0.696
Tm  0.105  0.209  0.304

Computed properties:
The density comes out at 7.7 g/cm³. The calculation puts the calculated volume at 33.55 Å³ per atom. As for the formation energy: 152.8 meV per atom. Its symmetry is No. 38. Its density of states at the Fermi level is 16.183 states/eV/f.u. The total moment is 0.000 μB per cell. The energy relative to the lowest polymorph listed for this composition comes out at 1.495 eV per formula unit. The crystal system is orthorhombic. As for the raw total energy: -4.494 eV/atom.

=====

[8]
Density functional theory data (GGA-PBE) for a relaxed NdSm3Tm6 crystal.

a = 6.184 Å, b = 10.935 Å, c = 10.935 Å
α = 119.45°, β = 90.00°, γ = 90.00°
Positions (direct):
Nd  0.154  0.208  0.792
Nd  0.654  0.792  0.208
Sm  0.460  0.935  0.717
Sm  0.960  0.717  0.935
Sm  0.067  0.392  0.608
Sm  0.567  0.608  0.392
Sm  0.960  0.065  0.283
Sm  0.460  0.283  0.065
Tm  0.029  0.714  0.616
Tm  0.529  0.616  0.714
Tm  0.367  0.542  0.965
Tm  0.867  0.965  0.542
Tm  0.414  0.953  0.047
Tm  0.639  0.286  0.714
Tm  0.139  0.714  0.286
Tm  0.914  0.047  0.953
Tm  0.367  0.035  0.458
Tm  0.867  0.458  0.035
Tm  0.029  0.384  0.286
Tm  0.529  0.286  0.384

Computed properties:
The density comes out at 8.3 g/cm³. The calculation puts the calculated volume at 32.19 Å³ per atom. As for the formation energy: 149.3 meV per atom. Its symmetry is No. 36. Its density of states at the Fermi level is 14.354 states/eV/f.u. The total moment is 0.005 μB per cell. The energy relative to the lowest polymorph listed for this composition comes out at 0.000 eV per formula unit. The crystal system is orthorhombic. As for the raw total energy: -4.426 eV/atom.